MgAsRu PBE-GGA relaxed; SG = I4mm, No. 107; magnetization = 0.0 μB/f.u.; ΔE_f = -0.305 eV per atom
1.0
-0.9915 -2.9660 -4.4983
2.7152 -0.4923 -4.7329
0.3197 0.0397 5.4692
As Mg Ru
1 1 1
Direct
0.0286 0.0286 0.0000
0.3275 0.3275 0.0000
0.6438 0.6438 0.0000